# 1
Density functional theory data (PBE) for an optimized crystal structure of Mn2SiCl.

Cell lengths 4.3579, 4.3579, 4.3579 Å; angles 60.00, 60.00, 60.00 degrees
Fractional positions:
Mn 0.2500 0.2500 0.2500
Mn 0.7500 0.7500 0.7500
Si 0.0000 0.0000 0.0000
Cl 0.5000 0.5000 0.5000

Values from the calculation:
formation energy from raw total energies	331	meV/atom
SG	Fm-3m
distance to the lowest polymorph of the same formula	371	meV per atom

***

# 2
Density functional theory data (PBE) for an optimized crystal structure of AlAsPt2.

Cell lengths 4.5185, 4.5185, 4.5185 Å; angles 60.00, 60.00, 60.00 degrees
Fractional positions:
Al 0.0000 0.0000 0.0000
As 0.2500 0.2500 0.2500
Pt 0.5000 0.5000 0.5000
Pt 0.7500 0.7500 0.7500

Values from the calculation:
DFT formation energy	-0.47	eV per formula unit
SG	F-43m
distance to the lowest polymorph of the same formula	431	meV per atom

***

no.,N(E_F) (states/eV/f.u.)
1,2.9
2,3.1